MnInPt3: optimized geometry, PBE-GGA.

N(E_F) in states/eV per atom: 1.127
Energy of formation in eV/atom: 0.699
Calculated density in Mg/m³: 12.7

abc: 4.616 4.616 4.616
angles: 90.00 90.00 90.00
Atoms (fractional coordinates):
Mn 0.000 0.000 0.000
Pt 0.000 0.500 0.000
Pt 0.000 0.000 0.500
Pt 0.500 0.000 0.000
In 0.500 0.500 0.500

Ca3HgSb2: optimized geometry, PBE-GGA.

Electronic total energy in eV per atom: -3.200
Calculated density in Mg/m³: 4.6

abc: 6.212 9.307 7.991
angles: 106.93 112.87 90.00
Atoms (fractional coordinates):
Ca 0.592 0.250 0.000
Ca 0.408 0.750 0.000
Ca 0.204 0.102 0.406
Ca 0.798 0.398 0.594
Ca 0.202 0.602 0.406
Ca 0.796 0.898 0.594
Hg 0.904 0.750 0.000
Hg 0.096 0.250 0.000
Sb 0.647 0.574 0.296
Sb 0.649 0.074 0.296
Sb 0.351 0.926 0.704
Sb 0.353 0.426 0.704

SrIr2O8: optimized geometry, PBE-GGA.

N(E_F) in states/eV per atom: 0.540
Electronic total energy in eV per atom: -5.991
Calculated density in Mg/m³: 7.1

abc: 4.765 4.765 6.206
angles: 90.00 90.00 90.00
Atoms (fractional coordinates):
Sr 0.500 0.500 0.500
Ir 0.500 0.000 0.000
Ir 0.000 0.500 0.000
O 0.751 0.751 0.187
O 0.751 0.249 0.813
O 0.751 0.751 0.813
O 0.751 0.249 0.187
O 0.249 0.751 0.187
O 0.249 0.751 0.813
O 0.249 0.249 0.187
O 0.249 0.249 0.813

Tm4CoCu: optimized geometry, PBE-GGA.

N(E_F) in states/eV per atom: 1.106
Energy of formation in eV/atom: -0.165
Calculated density in Mg/m³: 9.3

abc: 5.968 7.762 7.762
angles: 112.39 106.87 106.87
Atoms (fractional coordinates):
Tm 0.791 0.647 0.774
Tm 0.092 0.943 0.298
Tm 0.709 0.226 0.353
Tm 0.408 0.702 0.057
Tm 0.592 0.298 0.943
Tm 0.291 0.774 0.647
Tm 0.908 0.057 0.702
Tm 0.209 0.353 0.226
Co 0.250 0.000 0.000
Co 0.750 0.000 0.000
Cu 0.750 0.632 0.368
Cu 0.250 0.368 0.632

Q: Which formula does entry 1 have?
A: MnInPt3